CoCl2: relaxed, PBE-GGA.

Summary:
final energy = -49.645 eV per cell
total magnetic moment = 3.00 μB/f.u.
symmetry = Cmc2_1 (36)
calculated volume = 267.26 Å³/cell

Cell lengths 3.493, 6.064, 12.617 Å; angles 90.00, 90.00, 90.00 degrees
Positions (direct):
Co 0.000 0.163 0.000
Co 0.000 0.837 0.500
Co 0.500 0.337 0.500
Co 0.500 0.663 0.000
Cl 0.000 0.169 0.393
Cl 0.000 0.496 0.107
Cl 0.000 0.504 0.607
Cl 0.000 0.831 0.893
Cl 0.500 0.004 0.607
Cl 0.500 0.331 0.893
Cl 0.500 0.669 0.393
Cl 0.500 0.996 0.107

CoCl3: relaxed, PBE-GGA.

Summary:
final energy = -37.590 eV per cell
total magnetic moment = 0.07 μB/f.u.
symmetry = Fm-3m (225)
calculated volume = 289.60 Å³/cell

Cell lengths 6.616, 6.616, 6.616 Å; angles 90.00, 90.00, 90.00 degrees
Positions (direct):
Co 0.000 0.000 0.000
Co 0.000 0.500 0.500
Co 0.500 0.000 0.500
Co 0.500 0.500 0.000
Cl 0.000 0.000 0.500
Cl 0.000 0.500 0.000
Cl 0.250 0.250 0.250
Cl 0.250 0.250 0.750
Cl 0.250 0.750 0.250
Cl 0.250 0.750 0.750
Cl 0.500 0.000 0.000
Cl 0.500 0.500 0.500
Cl 0.750 0.250 0.250
Cl 0.750 0.250 0.750
Cl 0.750 0.750 0.250
Cl 0.750 0.750 0.750

CoCl2: relaxed, PBE-GGA.

Summary:
final energy = -12.036 eV per cell
total magnetic moment = 0.03 μB/f.u.
symmetry = Fd-3m (227)
calculated volume = 130.26 Å³/cell

Cell lengths 5.690, 5.690, 5.690 Å; angles 60.00, 60.00, 60.00 degrees
Positions (direct):
Co 0.125 0.125 0.125
Co 0.875 0.875 0.875
Cl 0.000 0.500 0.500
Cl 0.500 0.000 0.500
Cl 0.500 0.500 0.000
Cl 0.500 0.500 0.500